<i>
# PmZnIn

PmZnIn after structural relaxation (PBE-GGA, Alexandria via LeMat-Bulk).

Unit cell a=8.961 b=8.961 c=8.961 alpha=30.02 beta=30.02 gamma=30.02
Element x y z (fractional)
Pm (0.067, 0.067, 0.067)
Pm (0.933, 0.933, 0.933)
Zn (0.327, 0.327, 0.327)
Zn (0.673, 0.673, 0.673)
In (0.193, 0.193, 0.193)
In (0.807, 0.807, 0.807)

Computed properties:
Its density of states at the Fermi level is 0.445 states/eV/atom. The magnetic moment is 0.0 μB/f.u.

<ii>
# PmZnIn

PmZnIn after structural relaxation (PBE-GGA, Alexandria via LeMat-Bulk).

Unit cell a=4.740 b=4.740 c=3.735 alpha=90.00 beta=90.00 gamma=120.00
Element x y z (fractional)
Pm (0.000, 0.000, 0.000)
Zn (0.667, 0.333, 0.500)
In (0.333, 0.667, 0.500)

Computed properties:
Its density of states at the Fermi level is 0.546 states/eV/atom. The magnetic moment is 0.0 μB/f.u.

<iii>
# PmZnIn

PmZnIn after structural relaxation (PBE-GGA, Alexandria via LeMat-Bulk).

Unit cell a=4.766 b=4.766 c=4.766 alpha=60.00 beta=60.00 gamma=60.00
Element x y z (fractional)
Pm (0.000, 0.000, 0.000)
Zn (0.750, 0.750, 0.750)
In (0.500, 0.500, 0.500)

Computed properties:
Its density of states at the Fermi level is 0.505 states/eV/atom. The magnetic moment is 0.0 μB/f.u.

<iv>
# PmZnIn

PmZnIn after structural relaxation (PBE-GGA, Alexandria via LeMat-Bulk).

Unit cell a=8.808 b=8.808 c=3.794 alpha=102.27 beta=102.27 gamma=31.35
Element x y z (fractional)
Pm (0.107, 0.107, 0.356)
Pm (0.893, 0.893, 0.644)
Zn (0.455, 0.455, 0.206)
Zn (0.545, 0.545, 0.794)
In (0.296, 0.296, 0.056)
In (0.704, 0.704, 0.944)

Computed properties:
Its density of states at the Fermi level is 0.781 states/eV/atom. The magnetic moment is 0.0 μB/f.u.

What are the relative energies? In eV/atom: <i> 0.160; <ii> 0.000; <iii> 0.026; <iv> 0.085.

<i>
# Pm4Zn3In

Pm4Zn3In after structural relaxation (PBE-GGA, Alexandria via LeMat-Bulk).

Unit cell a=3.703 b=4.647 c=12.091 alpha=90.00 beta=90.00 gamma=90.00
Element x y z (fractional)
Pm (0.000, 0.000, 0.000)
Pm (0.000, 0.500, 0.295)
Pm (0.500, 0.000, 0.483)
Pm (0.500, 0.500, 0.808)
Zn (0.000, 0.500, 0.572)
Zn (0.500, 0.000, 0.212)
Zn (0.500, 0.500, 0.081)
In (0.000, 0.000, 0.710)

Computed properties:
Its density of states at the Fermi level is 0.878 states/eV/atom. The magnetic moment is 0.0 μB/f.u.

<ii>
# Pm4Zn3In

Pm4Zn3In after structural relaxation (PBE-GGA, Alexandria via LeMat-Bulk).

Unit cell a=3.707 b=5.264 c=10.523 alpha=90.00 beta=90.00 gamma=90.00
Element x y z (fractional)
Pm (0.000, 0.000, 0.000)
Pm (0.000, 0.000, 0.500)
Pm (0.000, 0.500, 0.239)
Pm (0.000, 0.500, 0.761)
Zn (0.500, 0.000, 0.248)
Zn (0.500, 0.000, 0.752)
Zn (0.500, 0.500, 0.000)
In (0.500, 0.500, 0.500)

Computed properties:
Its density of states at the Fermi level is 1.278 states/eV/atom. The magnetic moment is 0.0 μB/f.u.

What are the relative energies? In eV/atom: <i> 0.037; <ii> 0.000.

<i>
# Pr5In2

Pr5In2 after structural relaxation (PBE-GGA, Alexandria via LeMat-Bulk).

Unit cell a=8.718 b=8.718 c=9.309 alpha=97.36 beta=97.36 gamma=40.16
Element x y z (fractional)
Pr (0.083, 0.665, 0.047)
Pr (0.125, 0.426, 0.680)
Pr (0.221, 0.779, 0.750)
Pr (0.335, 0.917, 0.453)
Pr (0.426, 0.125, 0.180)
Pr (0.574, 0.875, 0.820)
Pr (0.665, 0.083, 0.547)
Pr (0.779, 0.221, 0.250)
Pr (0.875, 0.574, 0.320)
Pr (0.917, 0.335, 0.953)
In (0.224, 0.616, 0.401)
In (0.384, 0.776, 0.099)
In (0.616, 0.224, 0.901)
In (0.776, 0.384, 0.599)

Computed properties:
Its density of states at the Fermi level is 1.031 states/eV/atom. The magnetic moment is 0.0 μB/f.u.

<ii>
# Pr5In2

Pr5In2 after structural relaxation (PBE-GGA, Alexandria via LeMat-Bulk).

Unit cell a=9.469 b=9.469 c=9.469 alpha=126.24 beta=71.03 gamma=137.21
Element x y z (fractional)
Pr (0.014, 0.250, 0.764)
Pr (0.083, 0.664, 0.747)
Pr (0.250, 0.250, 0.000)
Pr (0.417, 0.164, 0.580)
Pr (0.486, 0.250, 0.236)
Pr (0.514, 0.750, 0.764)
Pr (0.583, 0.836, 0.420)
Pr (0.750, 0.750, 0.000)
Pr (0.917, 0.336, 0.253)
Pr (0.986, 0.750, 0.236)
In (0.127, 0.271, 0.398)
In (0.373, 0.771, 0.145)
In (0.627, 0.229, 0.855)
In (0.873, 0.729, 0.602)

Computed properties:
Its density of states at the Fermi level is 1.201 states/eV/atom. The magnetic moment is 0.0 μB/f.u.

What are the relative energies? In eV/atom: <i> 0.000; <ii> 0.006.

<i>
# PrIn5

PrIn5 after structural relaxation (PBE-GGA, Alexandria via LeMat-Bulk).

Unit cell a=7.306 b=7.306 c=4.884 alpha=90.00 beta=90.00 gamma=142.13
Element x y z (fractional)
Pr (0.000, 0.000, 0.000)
In (0.170, 0.830, 0.500)
In (0.326, 0.674, 0.000)
In (0.500, 0.500, 0.500)
In (0.674, 0.326, 0.000)
In (0.830, 0.170, 0.500)

Computed properties:
Its density of states at the Fermi level is 0.428 states/eV/atom. The magnetic moment is 0.0 μB/f.u.

<ii>
# PrIn5

PrIn5 after structural relaxation (PBE-GGA, Alexandria via LeMat-Bulk).

Unit cell a=5.795 b=5.795 c=5.844 alpha=101.17 beta=101.17 gamma=115.27
Element x y z (fractional)
Pr (0.000, 0.000, 0.000)
In (0.174, 0.826, 0.500)
In (0.340, 0.660, 0.000)
In (0.500, 0.500, 0.500)
In (0.660, 0.340, 0.000)
In (0.826, 0.174, 0.500)

Computed properties:
Its density of states at the Fermi level is 0.661 states/eV/atom. The magnetic moment is 0.0 μB/f.u.

What are the relative energies? In eV/atom: <i> 0.000; <ii> 0.071.

<i>
# PrIn3Pt3

PrIn3Pt3 after structural relaxation (PBE-GGA, Alexandria via LeMat-Bulk).

Unit cell a=7.291 b=7.291 c=7.291 alpha=69.16 beta=69.16 gamma=69.16
Element x y z (fractional)
Pr (0.170, 0.170, 0.170)
Pr (0.830, 0.830, 0.830)
In (0.068, 0.373, 0.701)
In (0.299, 0.932, 0.627)
In (0.373, 0.701, 0.068)
In (0.627, 0.299, 0.932)
In (0.701, 0.068, 0.373)
In (0.932, 0.627, 0.299)
Pt (0.152, 0.742, 0.450)
Pt (0.258, 0.550, 0.848)
Pt (0.450, 0.152, 0.742)
Pt (0.550, 0.848, 0.258)
Pt (0.742, 0.450, 0.152)
Pt (0.848, 0.258, 0.550)

Computed properties:
Its density of states at the Fermi level is 0.375 states/eV/atom. The magnetic moment is 0.0 μB/f.u.

<ii>
# PrIn3Pt3

PrIn3Pt3 after structural relaxation (PBE-GGA, Alexandria via LeMat-Bulk).

Unit cell a=9.121 b=9.121 c=4.459 alpha=90.00 beta=90.00 gamma=120.00
Element x y z (fractional)
Pr (0.333, 0.667, 0.250)
Pr (0.667, 0.333, 0.750)
In (0.046, 0.289, 0.750)
In (0.243, 0.954, 0.750)
In (0.289, 0.243, 0.250)
In (0.711, 0.757, 0.750)
In (0.757, 0.046, 0.250)
In (0.954, 0.711, 0.250)
Pt (0.055, 0.612, 0.750)
Pt (0.388, 0.443, 0.750)
Pt (0.443, 0.055, 0.250)
Pt (0.557, 0.945, 0.750)
Pt (0.612, 0.557, 0.250)
Pt (0.945, 0.388, 0.250)

Computed properties:
Its density of states at the Fermi level is 0.453 states/eV/atom. The magnetic moment is 0.0 μB/f.u.

What are the relative energies? In eV/atom: <i> 0.066; <ii> 0.000.

<i>
# Pr5In2Pt

Pr5In2Pt after structural relaxation (PBE-GGA, Alexandria via LeMat-Bulk).

Unit cell a=7.817 b=12.868 c=4.960 alpha=90.00 beta=90.00 gamma=90.00
Element x y z (fractional)
Pr (0.000, 0.000, 0.000)
Pr (0.134, 0.290, 0.000)
Pr (0.181, 0.575, 0.500)
Pr (0.319, 0.075, 0.500)
Pr (0.366, 0.790, 0.000)
Pr (0.500, 0.500, 0.000)
Pr (0.634, 0.210, 0.000)
Pr (0.681, 0.925, 0.500)
Pr (0.819, 0.425, 0.500)
Pr (0.866, 0.710, 0.000)
In (0.084, 0.835, 0.500)
In (0.416, 0.335, 0.500)
In (0.584, 0.665, 0.500)
In (0.916, 0.165, 0.500)
Pt (0.000, 0.500, 0.000)
Pt (0.500, 0.000, 0.000)

Computed properties:
Its density of states at the Fermi level is 0.990 states/eV/atom. The magnetic moment is 0.0 μB/f.u.

<ii>
# Pr5In2Pt

Pr5In2Pt after structural relaxation (PBE-GGA, Alexandria via LeMat-Bulk).

Unit cell a=6.855 b=6.855 c=6.855 alpha=116.03 beta=116.03 gamma=97.02
Element x y z (fractional)
Pr (0.000, 0.000, 0.000)
Pr (0.491, 0.491, 0.500)
Pr (0.491, 0.990, 0.000)
Pr (0.990, 0.491, 0.000)
Pr (0.990, 0.990, 0.500)
In (0.489, 0.989, 0.500)
In (0.989, 0.489, 0.500)
Pt (0.406, 0.406, 0.000)

Computed properties:
Its density of states at the Fermi level is 0.913 states/eV/atom. The magnetic moment is 0.0 μB/f.u.

What are the relative energies? In eV/atom: <i> 0.000; <ii> 0.144.